(1)
Material: SrZrMnSe4
Method: DFT, PBE
State: optimized geometry

```
data_SrZrMnSe4
_cell_length_a 6.607
_cell_length_b 7.175
_cell_length_c 8.209
_cell_angle_alpha 90.00
_cell_angle_beta 106.70
_cell_angle_gamma 90.00
_symmetry_space_group_name_H-M 'P 1 21/m 1'
_symmetry_Int_Tables_number 11
loop_
_symmetry_equiv_pos_as_xyz
'x,y,z'
'-x,-y,-z'
'-x,y+1/2,-z'
'x,-y+1/2,z'
loop_
_atom_site_label
_atom_site_type_symbol
_atom_site_fract_x
_atom_site_fract_y
_atom_site_fract_z
Sr1 Sr 0.199 0.250 0.045
Zr1 Zr 0.212 0.250 0.552
Mn1 Mn 0.253 0.750 0.335
Se1 Se 0.016 0.508 0.712
Se2 Se 0.475 0.750 0.147
Se3 Se 0.499 0.750 0.613
```

Total magnetic moment = 5.0 μB/f.u.

***

(2)
Material: Sr2ZrMnSe5
Method: DFT, PBE
State: optimized geometry

```
data_Sr2ZrMnSe5
_cell_length_a 4.105
_cell_length_b 18.111
_cell_length_c 12.901
_cell_angle_alpha 90.00
_cell_angle_beta 90.00
_cell_angle_gamma 90.00
_symmetry_space_group_name_H-M 'C m c 21'
_symmetry_Int_Tables_number 36
loop_
_symmetry_equiv_pos_as_xyz
'x,y,z'
'-x,-y,z+1/2'
'-x,y,z'
'x,-y,z+1/2'
'x+1/2,y+1/2,z'
'-x+1/2,-y+1/2,z+1/2'
'-x+1/2,y+1/2,z'
'x+1/2,-y+1/2,z+1/2'
loop_
_atom_site_label
_atom_site_type_symbol
_atom_site_fract_x
_atom_site_fract_y
_atom_site_fract_z
Sr1 Sr 0.000 0.109 0.000
Sr2 Sr 0.000 0.123 0.637
Zr1 Zr 0.000 0.208 0.344
Mn1 Mn 0.000 0.434 0.761
Se1 Se 0.000 0.059 0.372
Se2 Se 0.000 0.285 0.985
Se3 Se 0.000 0.301 0.695
Se4 Se 0.000 0.355 0.324
Se5 Se 0.000 0.499 0.596
```

Total magnetic moment = 5.0 μB/f.u.

***

(3)
Material: TaMnSe2
Method: DFT, PBE
State: optimized geometry

```
data_TaMnSe2
_cell_length_a 6.518
_cell_length_b 6.518
_cell_length_c 6.518
_cell_angle_alpha 90.00
_cell_angle_beta 90.00
_cell_angle_gamma 90.00
_symmetry_space_group_name_H-M 'F -4 3 m'
_symmetry_Int_Tables_number 216
_symmetry_space_group_name_Hall 'F -4 2 3'
loop_
_atom_site_label
_atom_site_type_symbol
_atom_site_fract_x
_atom_site_fract_y
_atom_site_fract_z
Ta1 Ta 0.000 0.000 0.000
Mn1 Mn 0.250 0.250 0.750
Se1 Se 0.000 0.000 0.500
Se2 Se 0.250 0.250 0.250
```

Total magnetic moment = 2.3 μB/f.u.
Excess energy over the best structure of this formula in the dataset = 859.1 meV/atom

***

(4)
Material: Ta2MnSe
Method: DFT, PBE
State: optimized geometry

```
data_Ta2MnSe
_cell_length_a 3.3243
_cell_length_b 3.3243
_cell_length_c 21.5584
_cell_angle_alpha 90.00
_cell_angle_beta 90.00
_cell_angle_gamma 120.00
_symmetry_space_group_name_H-M 'R -3 m'
_symmetry_Int_Tables_number 166
_symmetry_space_group_name_Hall '-R 3 2"'
loop_
_atom_site_label
_atom_site_type_symbol
_atom_site_fract_x
_atom_site_fract_y
_atom_site_fract_z
Ta1 Ta 0.0000 0.0000 0.2399
Mn1 Mn 0.0000 0.0000 0.5000
Se1 Se 0.0000 0.0000 0.0000
```

Total magnetic moment = 0.5 μB/f.u.

***

(5)
Material: Ta2MnSe
Method: DFT, PBE
State: optimized geometry

```
data_Ta2MnSe
_cell_length_a 3.517
_cell_length_b 4.829
_cell_length_c 8.056
_cell_angle_alpha 90.00
_cell_angle_beta 90.00
_cell_angle_gamma 90.00
_symmetry_space_group_name_H-M 'C m m 2'
_symmetry_Int_Tables_number 35
loop_
_symmetry_equiv_pos_as_xyz
'x,y,z'
'-x,-y,z'
'-x,y,z'
'x,-y,z'
'x+1/2,y+1/2,z'
'-x+1/2,-y+1/2,z'
'-x+1/2,y+1/2,z'
'x+1/2,-y+1/2,z'
loop_
_atom_site_label
_atom_site_type_symbol
_atom_site_fract_x
_atom_site_fract_y
_atom_site_fract_z
Ta1 Ta 0.000 0.000 0.000
Ta2 Ta 0.000 0.500 0.272
Mn1 Mn 0.000 0.000 0.522
Se1 Se 0.000 0.500 0.752
```

Total magnetic moment = 2.7 μB/f.u.

***

(6)
Material: Ta3MnSe8
Method: DFT, PBE
State: optimized geometry

```
data_Ta3MnSe8
_cell_length_a 7.1748
_cell_length_b 7.1748
_cell_length_c 12.4144
_cell_angle_alpha 90.00
_cell_angle_beta 90.00
_cell_angle_gamma 120.00
_symmetry_space_group_name_H-M 'P 63 m c'
_symmetry_Int_Tables_number 186
_symmetry_space_group_name_Hall 'P 6c -2c'
loop_
_atom_site_label
_atom_site_type_symbol
_atom_site_fract_x
_atom_site_fract_y
_atom_site_fract_z
Ta1 Ta 0.1657 0.3315 0.0000
Mn1 Mn 0.3333 0.6667 0.2451
Se1 Se 0.0000 0.0000 0.1309
Se2 Se 0.0023 0.5011 0.6287
Se3 Se 0.1682 0.3364 0.3803
Se4 Se 0.3333 0.6667 0.8715
```

Total magnetic moment = 4.5 μB/f.u.

***

no.,mass density (Mg/m³),formation energy from raw total energies (eV/atom),final energy (eV per atom)
1,4.9,-1.150,-5.9122
2,5.0,-1.436,-5.7142
3,9.4,0.425,-6.5730
4,12.0,0.105,-8.9852
5,12.0,0.065,-9.0249
6,7.4,-0.651,-6.7016